An optimized crystal structure of ZrTaB3, computed with GGA-PBE.

a = 3.4349 Å, b = 3.1716 Å, c = 10.0170 Å
α = 90.00°, β = 99.87°, γ = 90.00°
Element x y z (fractional)
1 B 0.3826 0.2500 0.7652
2 B 0.5234 0.7500 0.0468
3 B 0.6671 0.2500 0.3342
4 B 0.3329 0.7500 0.6658
5 B 0.6174 0.7500 0.2348
6 B 0.4766 0.2500 0.9532
7 Zr 0.9297 0.7500 0.8594
8 Zr 0.0703 0.2500 0.1406
9 Ta 0.7956 0.2500 0.5913
10 Ta 0.2044 0.7500 0.4087

Electronic total energy in eV per atom: -8.983
Size of the total moment in μB per atom: 0.00
E above lowest polymorph in meV/atom: 0

An optimized crystal structure of Zr3TaB, computed with GGA-PBE.

a = 4.6329 Å, b = 4.6329 Å, c = 4.6329 Å
α = 90.00°, β = 90.00°, γ = 90.00°
Element x y z (fractional)
1 Ta 0.5000 0.5000 0.5000
2 B 0.0000 0.0000 0.0000
3 Zr 0.0000 0.0000 0.5000
4 Zr 0.0000 0.5000 0.0000
5 Zr 0.5000 0.0000 0.0000

Electronic total energy in eV per atom: -8.715
Size of the total moment in μB per atom: 0.00
E above lowest polymorph in meV/atom: 0